Entry 1:
# YAsW2

A PBEsol-optimized structure of YAsW2 (SCAN, Alexandria).

Cell: 2.928 4.967 4.990 Å, 90.00 90.00 91.54°
Sites, in units of the cell vectors:
Y (0.000, 0.500, 0.500)
W (0.383, 0.249, 0.000)
W (0.617, 0.751, 0.000)
As (0.500, 0.000, 0.500)

## Properties
ΔE_f, eV per atom: 0.36

Entry 2:
# YAsW2

A PBEsol-optimized structure of YAsW2 (SCAN, Alexandria).

Cell: 3.377 4.258 5.740 Å, 111.77 107.11 90.00°
Sites, in units of the cell vectors:
W (0.257, 0.257, 0.513)
W (0.743, 0.743, 0.487)
Y (0.500, 0.000, 0.000)
As (0.000, 0.500, 0.000)

## Properties
ΔE_f, eV per atom: 0.34